Entry 1:
Nb2SbHCl | PBE | optimized geometry

Uncorrected energy, eV per atom: -4.78
DOS(E_F), states/eV/cell: 4.8

Cell and atoms, written as CIF:
```
data_Nb2SbHCl
_cell_length_a 5.3911
_cell_length_b 5.3911
_cell_length_c 3.4862
_cell_angle_alpha 90.00
_cell_angle_beta 90.00
_cell_angle_gamma 90.00
_space_group_name_H-M_alt 'P 4/m m m'
_space_group_IT_number 123
_space_group_name_Hall '-P 4 2'
loop_
_atom_site_label
_atom_site_type_symbol
_atom_site_fract_x
_atom_site_fract_y
_atom_site_fract_z
Nb1 Nb 0.0000 0.5000 0.0000
Sb1 Sb 0.0000 0.0000 0.0000
H1 H 0.0000 0.0000 0.5000
Cl1 Cl 0.5000 0.5000 0.5000
```

Entry 2:
Ba2SCl2 | PBE | optimized geometry

Uncorrected energy, eV per atom: -4.42
DOS(E_F), states/eV/cell: 0.0

Cell and atoms, written as CIF:
```
data_Ba2SCl2
_cell_length_a 8.4513
_cell_length_b 8.4513
_cell_length_c 4.4838
_cell_angle_alpha 90.00
_cell_angle_beta 90.00
_cell_angle_gamma 90.00
_space_group_name_H-M_alt 'P 4/m b m'
_space_group_IT_number 127
_space_group_name_Hall '-P 4 2ab'
loop_
_atom_site_label
_atom_site_type_symbol
_atom_site_fract_x
_atom_site_fract_y
_atom_site_fract_z
Ba1 Ba 0.1805 0.3195 0.0000
S1 S 0.0000 0.0000 0.0000
Cl1 Cl 0.1331 0.6331 0.5000
```

Entry 3:
Nd4Dy3Cd4 | PBE | optimized geometry

Uncorrected energy, eV per atom: -3.45
DOS(E_F), states/eV/cell: 32.6
ΔE_f, eV/atom: -0.130

Cell and atoms, written as CIF:
```
data_Nd4Dy3Cd4
_cell_length_a 3.5801
_cell_length_b 9.3128
_cell_length_c 19.8049
_cell_angle_alpha 90.00
_cell_angle_beta 90.00
_cell_angle_gamma 90.00
_space_group_name_H-M_alt 'I m m m'
_space_group_IT_number 71
_space_group_name_Hall '-I 2 2'
loop_
_atom_site_label
_atom_site_type_symbol
_atom_site_fract_x
_atom_site_fract_y
_atom_site_fract_z
Nd1 Nd 0.0000 0.1761 0.1568
Dy1 Dy 0.0000 0.0000 0.4029
Dy2 Dy 0.0000 0.5000 0.5000
Cd1 Cd 0.0000 0.2930 0.0000
Cd2 Cd 0.0000 0.5000 0.2282
```